Arrangement i

{
  "formula": "SmHo9Tm2",
  "functional": "PBE-GGA",
  "state": "optimized geometry",
  "cell": [[-2.489, -2.033, 3.813], [1.628, -4.517, -1.346], [12.012, 1.720, 8.758]],
  "species": ["Sm", "Ho", "Ho", "Ho", "Ho", "Ho", "Ho", "Ho", "Ho", "Ho", "Tm", "Tm"],
  "frac_coords": [[0.000, 0.000, 0.000], [0.500, 0.500, 0.000], [0.500, 0.500, 0.335], [0.500, 0.500, 0.665], [0.500, 0.000, 0.169], [0.500, 0.000, 0.500], [0.500, 0.000, 0.831], [0.000, 0.500, 0.169], [0.000, 0.500, 0.500], [0.000, 0.500, 0.831], [0.000, 0.000, 0.334], [0.000, 0.000, 0.666]],
  "sg": "P4/mmm (123)",
  "total_magnetization_mub_per_fu": 0.0
}



Arrangement ii

{
  "formula": "SmHo9Tm2",
  "functional": "PBE-GGA",
  "state": "optimized geometry",
  "cell": [[3.486, 0.000, 0.000], [0.000, 11.142, 0.000], [0.000, -5.571, 9.649]],
  "species": ["Sm", "Ho", "Ho", "Ho", "Ho", "Ho", "Ho", "Ho", "Ho", "Ho", "Tm", "Tm"],
  "frac_coords": [[0.000, 0.000, 0.000], [0.000, 0.000, 0.500], [0.000, 0.500, 0.500], [0.000, 0.500, 0.000], [0.500, 0.356, 0.178], [0.500, 0.178, 0.822], [0.500, 0.178, 0.356], [0.500, 0.822, 0.644], [0.500, 0.822, 0.178], [0.500, 0.644, 0.822], [0.000, 0.333, 0.667], [0.000, 0.667, 0.333]],
  "sg": "P6/mmm (191)",
  "total_magnetization_mub_per_fu": 0.0
}



Which structure loses on stability? arrangement ii does.



Arrangement i

{
  "formula": "Sm8HoTm2",
  "functional": "PBE-GGA",
  "state": "optimized geometry",
  "cell": [[-8.218, -1.692, 7.654], [13.398, -1.740, -7.893], [15.063, 2.342, -3.510]],
  "species": ["Sm", "Sm", "Sm", "Sm", "Sm", "Sm", "Sm", "Sm", "Ho", "Tm", "Tm"],
  "frac_coords": [[0.817, 0.908, 0.364], [0.453, 0.727, 0.090], [0.636, 0.817, 0.728], [0.364, 0.183, 0.272], [0.547, 0.273, 0.910], [0.183, 0.092, 0.636], [0.272, 0.637, 0.453], [0.728, 0.363, 0.547], [0.000, 0.000, 0.000], [0.094, 0.547, 0.818], [0.906, 0.453, 0.182]],
  "sg": "P-1 (2)",
  "total_magnetization_mub_per_fu": 0.0
}



Arrangement ii

{
  "formula": "Sm8HoTm2",
  "functional": "PBE-GGA",
  "state": "optimized geometry",
  "cell": [[-1.746, 0.292, 5.539], [6.150, -4.499, 3.355], [4.169, 6.885, 2.130]],
  "species": ["Sm", "Sm", "Sm", "Sm", "Sm", "Sm", "Sm", "Sm", "Ho", "Tm", "Tm"],
  "frac_coords": [[0.769, 0.134, 0.631], [0.231, 0.369, 0.866], [0.910, 0.267, 0.267], [0.090, 0.733, 0.733], [0.769, 0.631, 0.134], [0.231, 0.866, 0.369], [0.285, 0.428, 0.428], [0.715, 0.572, 0.572], [0.000, 0.000, 0.000], [0.481, 0.139, 0.139], [0.519, 0.861, 0.861]],
  "sg": "C2/m (12)",
  "total_magnetization_mub_per_fu": 0.0
}



Which structure loses on stability? arrangement ii does.



Arrangement i

{
  "formula": "Sm4Ho5Tm",
  "functional": "PBE-GGA",
  "state": "optimized geometry",
  "cell": [[5.901, 0.000, 0.000], [2.950, 7.512, 0.000], [2.950, 0.000, 7.512]],
  "species": ["Sm", "Sm", "Sm", "Sm", "Ho", "Ho", "Ho", "Ho", "Ho", "Tm"],
  "frac_coords": [[0.449, 0.323, 0.677], [0.772, 0.677, 0.677], [0.126, 0.323, 0.323], [0.449, 0.677, 0.323], [0.764, 0.377, 0.000], [0.142, 0.000, 0.623], [0.764, 0.000, 0.377], [0.142, 0.623, 0.000], [0.690, 0.000, 0.000], [0.214, 0.000, 0.000]],
  "sg": "I4mm (107)",
  "total_magnetization_mub_per_fu": 0.0
}



Arrangement ii

{
  "formula": "Sm4Ho5Tm",
  "functional": "PBE-GGA",
  "state": "optimized geometry",
  "cell": [[3.448, 0.000, -0.699], [-0.114, 11.076, -0.565], [-0.020, 0.454, 8.722]],
  "species": ["Sm", "Sm", "Sm", "Sm", "Ho", "Ho", "Ho", "Ho", "Ho", "Tm"],
  "frac_coords": [[0.655, 0.250, 0.310], [0.971, 0.249, 0.940], [0.345, 0.750, 0.690], [0.029, 0.751, 0.060], [0.174, 0.553, 0.347], [0.173, 0.949, 0.346], [0.827, 0.051, 0.654], [0.500, 0.500, 0.000], [0.826, 0.447, 0.653], [0.500, 0.000, 0.000]],
  "sg": "C2/m (12)",
  "total_magnetization_mub_per_fu": 0.0
}



Which structure loses on stability? arrangement i does.



Arrangement i

{
  "formula": "Sm5Ho2Tm2",
  "functional": "PBE-GGA",
  "state": "optimized geometry",
  "cell": [[4.833, 0.000, 1.470], [1.354, 8.338, 4.230], [0.244, 1.321, 7.882]],
  "species": ["Sm", "Sm", "Sm", "Sm", "Sm", "Ho", "Ho", "Tm", "Tm"],
  "frac_coords": [[0.334, 0.001, 0.332], [0.666, 0.999, 0.668], [0.222, 0.665, 0.890], [0.778, 0.335, 0.110], [0.000, 0.000, 0.000], [0.109, 0.335, 0.446], [0.891, 0.665, 0.554], [0.445, 0.336, 0.773], [0.555, 0.664, 0.227]],
  "sg": "C2/m (12)",
  "total_magnetization_mub_per_fu": 0.0
}



Arrangement ii

{
  "formula": "Sm5Ho2Tm2",
  "functional": "PBE-GGA",
  "state": "optimized geometry",
  "cell": [[-4.191, -11.747, 2.816], [3.267, 0.084, 5.214], [-5.405, 8.794, -0.387]],
  "species": ["Sm", "Sm", "Sm", "Sm", "Sm", "Sm", "Sm", "Sm", "Sm", "Sm", "Ho", "Ho", "Ho", "Ho", "Tm", "Tm", "Tm", "Tm"],
  "frac_coords": [[0.252, 0.744, 0.903], [0.748, 0.841, 0.097], [0.152, 0.244, 0.903], [0.848, 0.341, 0.097], [0.330, 0.098, 0.288], [0.670, 0.810, 0.712], [0.458, 0.598, 0.288], [0.542, 0.310, 0.712], [0.072, 0.793, 0.500], [0.928, 0.293, 0.500], [0.000, 0.887, 0.000], [0.500, 0.387, 0.000], [0.195, 0.266, 0.500], [0.805, 0.766, 0.500], [0.184, 0.584, 0.270], [0.816, 0.313, 0.730], [0.586, 0.084, 0.270], [0.414, 0.813, 0.730]],
  "sg": "Ima2 (46)",
  "total_magnetization_mub_per_fu": 0.0
}



Which structure loses on stability? arrangement ii does.



Arrangement i

{
  "formula": "SmHo3Tm4",
  "functional": "PBE-GGA",
  "state": "optimized geometry",
  "cell": [[6.224, 0.000, 0.000], [0.000, 7.203, 0.000], [0.000, 0.000, 11.144]],
  "species": ["Sm", "Sm", "Ho", "Ho", "Ho", "Ho", "Ho", "Ho", "Tm", "Tm", "Tm", "Tm", "Tm", "Tm", "Tm", "Tm"],
  "frac_coords": [[0.148, 0.373, 0.000], [0.648, 0.627, 0.500], [0.647, 0.626, 0.000], [0.981, 0.627, 0.250], [0.481, 0.373, 0.250], [0.147, 0.374, 0.500], [0.481, 0.373, 0.750], [0.981, 0.627, 0.750], [0.147, 0.877, 0.000], [0.649, 0.123, 0.000], [0.981, 0.123, 0.251], [0.481, 0.877, 0.249], [0.149, 0.877, 0.500], [0.647, 0.123, 0.500], [0.481, 0.877, 0.751], [0.981, 0.123, 0.749]],
  "sg": "Pmn2_1 (31)",
  "total_magnetization_mub_per_fu": 0.0
}



Arrangement ii

{
  "formula": "SmHo3Tm4",
  "functional": "PBE-GGA",
  "state": "optimized geometry",
  "cell": [[5.464, 0.000, -1.089], [-0.063, 3.503, -0.316], [-0.203, 1.202, 13.235]],
  "species": ["Tm", "Tm", "Tm", "Tm", "Ho", "Ho", "Ho", "Sm"],
  "frac_coords": [[0.605, 0.500, 0.209], [0.395, 0.500, 0.791], [0.276, 0.499, 0.553], [0.724, 0.501, 0.447], [0.000, 0.500, 0.000], [0.843, 0.999, 0.686], [0.157, 0.001, 0.314], [0.500, 0.000, 0.000]],
  "sg": "C2/m (12)",
  "total_magnetization_mub_per_fu": 0.0
}



Which structure loses on stability? arrangement ii does.